(1)
{"formula": "ZrCuB2S", "functional": "PBE", "state": "relaxed", "lattice_angstrom": [[3.8846, 0.0000, 0.0000], [0.0000, 3.8846, 0.0000], [0.0000, 0.0000, 4.7587]], "species": ["Zr", "Cu", "B", "B", "S"], "fractional_positions": [[0.0000, 0.0000, 0.0000], [0.5000, 0.5000, 0.0000], [0.0000, 0.5000, 0.5000], [0.5000, 0.0000, 0.5000], [0.0000, 0.0000, 0.5000]], "raw_formation_energy_ev_per_atom": 1.070, "n_ef_per_ev_cell": 2.98, "rho_kg_m3": 4820}

(2)
{"formula": "ScCd11", "functional": "PBE", "state": "relaxed", "lattice_angstrom": [[-5.9911, 5.9911, 3.8269], [5.9911, -5.9911, 3.8269], [5.9911, 5.9911, -3.8269]], "species": ["Sc", "Sc", "Cd", "Cd", "Cd", "Cd", "Cd", "Cd", "Cd", "Cd", "Cd", "Cd", "Cd", "Cd", "Cd", "Cd", "Cd", "Cd", "Cd", "Cd", "Cd", "Cd", "Cd", "Cd"], "fractional_positions": [[0.3750, 0.6250, 0.7500], [0.6250, 0.3750, 0.2500], [0.0000, 0.0000, 0.0000], [0.0000, 0.0000, 0.5000], [0.0000, 0.5000, 0.0000], [0.1121, 0.5456, 0.3268], [0.1121, 0.7853, 0.5665], [0.1250, 0.8750, 0.2500], [0.2147, 0.2812, 0.3268], [0.2147, 0.8879, 0.9335], [0.2812, 0.2147, 0.8268], [0.2812, 0.4544, 0.0665], [0.4544, 0.2812, 0.5665], [0.4544, 0.8879, 0.1732], [0.5000, 0.0000, 0.5000], [0.5456, 0.1121, 0.8268], [0.5456, 0.7188, 0.4335], [0.7188, 0.5456, 0.9335], [0.7188, 0.7853, 0.1732], [0.7853, 0.1121, 0.0665], [0.7853, 0.7188, 0.6732], [0.8750, 0.1250, 0.7500], [0.8879, 0.2147, 0.4335], [0.8879, 0.4544, 0.6732]], "ef_kj_per_mol_atoms": 3.4, "n_ef_per_ev_cell": 9.13, "rho_kg_m3": 7746}

(3)
{"formula": "NdZnAsSe", "functional": "PBE", "state": "relaxed", "lattice_angstrom": [[2.1390, 1.2350, 13.9516], [-2.1390, 1.2350, 13.9516], [0.0000, -2.4700, 13.9516]], "species": ["Nd", "Nd", "Zn", "Zn", "As", "As", "Se", "Se"], "fractional_positions": [[0.0881, 0.0881, 0.0881], [0.9119, 0.9119, 0.9119], [0.3109, 0.3109, 0.3109], [0.6891, 0.6891, 0.6891], [0.3732, 0.3732, 0.3732], [0.6268, 0.6268, 0.6268], [0.2115, 0.2115, 0.2115], [0.7885, 0.7885, 0.7885]], "raw_formation_energy_ev_per_atom": -1.041, "n_ef_per_ev_cell": 0.31, "rho_kg_m3": 5460}

(4)
{"formula": "TlCd3", "functional": "PBE", "state": "relaxed", "lattice_angstrom": [[6.3090, 0.0000, 0.0000], [0.0000, 10.2674, 0.0000], [0.0000, 0.0000, 6.3077]], "species": ["Tl", "Tl", "Tl", "Tl", "Cd", "Cd", "Cd", "Cd", "Cd", "Cd", "Cd", "Cd", "Cd", "Cd", "Cd", "Cd"], "fractional_positions": [[0.0188, 0.2500, 0.1832], [0.4812, 0.7500, 0.6832], [0.5188, 0.2500, 0.3168], [0.9812, 0.7500, 0.8168], [0.0836, 0.7500, 0.3165], [0.2366, 0.0189, 0.5518], [0.2366, 0.4811, 0.5518], [0.2634, 0.5189, 0.0518], [0.2634, 0.9811, 0.0518], [0.4164, 0.2500, 0.8165], [0.5836, 0.7500, 0.1835], [0.7366, 0.0189, 0.9482], [0.7366, 0.4811, 0.9482], [0.7634, 0.5189, 0.4482], [0.7634, 0.9811, 0.4482], [0.9164, 0.2500, 0.6835]], "ef_kj_per_mol_atoms": 4.5, "n_ef_per_ev_cell": 3.78, "rho_kg_m3": 8805}

(5)
{"formula": "PuPdAu", "functional": "PBE", "state": "relaxed", "lattice_angstrom": [[1.7710, -8.6542, 0.0000], [1.7710, 8.6542, 0.0000], [0.0000, 0.0000, 4.1798]], "species": ["Pu", "Pu", "Pd", "Pd", "Au", "Au"], "fractional_positions": [[0.1096, 0.8904, 0.7500], [0.8904, 0.1096, 0.2500], [0.4509, 0.5491, 0.7500], [0.5491, 0.4509, 0.2500], [0.2890, 0.7110, 0.7500], [0.7110, 0.2890, 0.2500]], "ef_kj_per_mol_atoms": -42.2, "n_ef_per_ev_cell": 26.29, "rho_kg_m3": 14189}

(6)
{"formula": "Na2NdY3Te6", "functional": "PBE", "state": "relaxed", "lattice_angstrom": [[3.8254, -6.6219, 0.0000], [3.8254, 6.6219, 0.0000], [-2.5516, 0.0000, 7.3599]], "species": ["Na", "Na", "Nd", "Y", "Y", "Y", "Te", "Te", "Te", "Te", "Te", "Te"], "fractional_positions": [[0.1668, 0.8332, 0.0000], [0.8332, 0.1668, 0.0000], [0.5000, 0.5000, 0.0000], [0.0000, 0.0000, 0.5000], [0.3332, 0.6668, 0.5000], [0.6668, 0.3332, 0.5000], [0.0795, 0.4141, 0.7422], [0.2519, 0.2519, 0.2591], [0.4141, 0.0795, 0.7422], [0.5859, 0.9205, 0.2578], [0.7481, 0.7481, 0.7409], [0.9205, 0.5859, 0.2578]], "raw_formation_energy_ev_per_atom": -1.342, "n_ef_per_ev_cell": 3.82, "rho_kg_m3": 5444}

(7)
{"formula": "CaYSb", "functional": "PBE", "state": "relaxed", "lattice_angstrom": [[-4.6044, 7.1868, 4.1502], [4.6044, -7.1868, 4.1502], [4.6044, 7.1868, -4.1502]], "species": ["Ca", "Ca", "Ca", "Ca", "Ca", "Ca", "Y", "Y", "Y", "Y", "Y", "Y", "Sb", "Sb", "Sb", "Sb", "Sb", "Sb"], "fractional_positions": [[0.0002, 0.2500, 0.2502], [0.9998, 0.7500, 0.7498], [0.1805, 0.1355, 0.5450], [0.1807, 0.6354, 0.0452], [0.5902, 0.1354, 0.9548], [0.5905, 0.6355, 0.4550], [0.3409, 0.3409, 0.0000], [0.3409, 0.8409, 0.5000], [0.5905, 0.2146, 0.3749], [0.5905, 0.7156, 0.8759], [0.8397, 0.2156, 0.6251], [0.8397, 0.7146, 0.1241], [0.2571, 0.0903, 0.1667], [0.2571, 0.5903, 0.6668], [0.5896, 0.3401, 0.7496], [0.5905, 0.8401, 0.2504], [0.9235, 0.0903, 0.8333], [0.9235, 0.5903, 0.3332]], "raw_formation_energy_ev_per_atom": -0.744, "n_ef_per_ev_cell": 13.60, "rho_kg_m3": 4548}

(8)
{"formula": "DyErCoPt", "functional": "PBE", "state": "relaxed", "lattice_angstrom": [[0.0000, 3.4113, 3.4113], [3.4113, 0.0000, 3.4113], [3.4113, 3.4113, 0.0000]], "species": ["Dy", "Er", "Co", "Pt"], "fractional_positions": [[0.0000, 0.0000, 0.0000], [0.5000, 0.5000, 0.5000], [0.7500, 0.7500, 0.7500], [0.2500, 0.2500, 0.2500]], "ef_kj_per_mol_atoms": -66.4, "n_ef_per_ev_cell": 2.71, "rho_kg_m3": 12209}

(9)
{"formula": "Zr2NiHg", "functional": "PBE", "state": "relaxed", "lattice_angstrom": [[-2.0535, 2.0535, 4.5454], [2.0535, -2.0535, 4.5454], [2.0535, 2.0535, -4.5454]], "species": ["Zr", "Zr", "Ni", "Hg"], "fractional_positions": [[0.0000, 0.0000, 0.0000], [0.7500, 0.2500, 0.5000], [0.5000, 0.5000, 0.0000], [0.2500, 0.7500, 0.5000]], "ef_kj_per_mol_atoms": -5.1, "n_ef_per_ev_cell": 3.67, "rho_kg_m3": 9568}

(10)
{"formula": "K2ReF8", "functional": "PBE", "state": "relaxed", "lattice_angstrom": [[8.9113, 0.0000, 0.0000], [0.0000, 5.9778, 0.0000], [0.0000, 0.0000, 12.6410]], "species": ["K", "K", "K", "K", "K", "K", "K", "K", "Re", "Re", "Re", "Re", "F", "F", "F", "F", "F", "F", "F", "F", "F", "F", "F", "F", "F", "F", "F", "F", "F", "F", "F", "F", "F", "F", "F", "F", "F", "F", "F", "F", "F", "F", "F", "F"], "fractional_positions": [[0.0483, 0.2500, 0.2085], [0.1682, 0.2500, 0.5603], [0.3318, 0.7500, 0.0603], [0.4517, 0.7500, 0.7085], [0.5483, 0.2500, 0.2915], [0.6682, 0.2500, 0.9397], [0.8318, 0.7500, 0.4397], [0.9517, 0.7500, 0.7915], [0.2192, 0.2500, 0.8780], [0.2808, 0.7500, 0.3780], [0.7192, 0.2500, 0.6220], [0.7808, 0.7500, 0.1220], [0.0071, 0.2500, 0.8380], [0.1034, 0.5504, 0.3884], [0.1034, 0.9496, 0.3884], [0.1348, 0.5246, 0.9353], [0.1348, 0.9754, 0.9353], [0.2131, 0.0496, 0.7527], [0.2131, 0.4504, 0.7527], [0.2333, 0.7500, 0.5313], [0.2667, 0.2500, 0.0313], [0.2869, 0.5496, 0.2527], [0.2869, 0.9504, 0.2527], [0.3652, 0.0246, 0.4353], [0.3652, 0.4754, 0.4353], [0.3966, 0.0504, 0.8884], [0.3966, 0.4496, 0.8884], [0.4929, 0.7500, 0.3380], [0.5071, 0.2500, 0.6620], [0.6034, 0.5504, 0.1116], [0.6034, 0.9496, 0.1116], [0.6348, 0.5246, 0.5647], [0.6348, 0.9754, 0.5647], [0.7131, 0.0496, 0.7473], [0.7131, 0.4504, 0.7473], [0.7333, 0.7500, 0.9687], [0.7667, 0.2500, 0.4687], [0.7869, 0.5496, 0.2473], [0.7869, 0.9504, 0.2473], [0.8652, 0.0246, 0.0647], [0.8652, 0.4754, 0.0647], [0.8966, 0.0504, 0.6116], [0.8966, 0.4496, 0.6116], [0.9929, 0.7500, 0.1620]], "raw_formation_energy_ev_per_atom": -2.479, "rho_kg_m3": 4107}

(11)
{"formula": "NiAsSe2I", "functional": "PBE", "state": "relaxed", "lattice_angstrom": [[5.3422, 0.0000, 0.0000], [0.0000, 5.3422, 0.0000], [0.0000, 0.0000, 5.4405]], "species": ["Ni", "As", "Se", "Se", "I"], "fractional_positions": [[0.0000, 0.0000, 0.0000], [0.5000, 0.5000, 0.0000], [0.0000, 0.5000, 0.5000], [0.5000, 0.0000, 0.5000], [0.5000, 0.5000, 0.5000]], "raw_formation_energy_ev_per_atom": 1.481, "n_ef_per_ev_cell": 10.50, "rho_kg_m3": 4475}

(12)
{"formula": "Dy8ErSc6", "functional": "PBE", "state": "relaxed", "lattice_angstrom": [[9.0270, 0.0000, 0.0000], [-4.5135, 7.8176, 0.0000], [0.0000, 0.0000, 6.3620]], "species": ["Dy", "Dy", "Dy", "Dy", "Dy", "Dy", "Dy", "Dy", "Er", "Sc", "Sc", "Sc", "Sc", "Sc", "Sc"], "fractional_positions": [[0.0381, 0.6920, 0.3895], [0.3080, 0.3460, 0.3895], [0.3333, 0.6667, 0.7212], [0.3460, 0.0381, 0.6105], [0.6540, 0.9619, 0.3895], [0.6667, 0.3333, 0.2788], [0.6920, 0.6540, 0.6105], [0.9619, 0.3080, 0.6105], [0.0000, 0.0000, 0.0000], [0.0677, 0.3965, 0.0973], [0.3288, 0.9323, 0.0973], [0.3965, 0.3288, 0.9027], [0.6035, 0.6712, 0.0973], [0.6712, 0.0677, 0.9027], [0.9323, 0.6035, 0.9027]], "ef_kj_per_mol_atoms": 23.8, "n_ef_per_ev_cell": 21.50, "rho_kg_m3": 6424}

Copy entry 9 word for word.
{"formula": "Zr2NiHg", "functional": "PBE", "state": "relaxed", "lattice_angstrom": [[-2.0535, 2.0535, 4.5454], [2.0535, -2.0535, 4.5454], [2.0535, 2.0535, -4.5454]], "species": ["Zr", "Zr", "Ni", "Hg"], "fractional_positions": [[0.0000, 0.0000, 0.0000], [0.7500, 0.2500, 0.5000], [0.5000, 0.5000, 0.0000], [0.2500, 0.7500, 0.5000]], "ef_kj_per_mol_atoms": -5.1, "n_ef_per_ev_cell": 3.67, "rho_kg_m3": 9568}